No. 1
VASP calculation (GGA-PBE) on crystalline AgMoRu2 at its relaxed geometry.

Cell and atoms, written as POSCAR:
```
AgMoRu2
1.0
2.776 0.000 0.000
0.000 2.776 0.000
0.000 0.000 8.038
Ru Mo Ag
2 1 1
Cartesian
0.000 0.000 4.173
0.000 0.000 7.884
1.388 1.388 6.028
1.388 1.388 2.009
```

energy above the most stable polymorph in this dataset: 0.45 eV/f.u.
V: 15.481 A^3/atom
formation energy from the elements: 1.2 eV/f.u.

No. 2
VASP calculation (GGA-PBE) on crystalline LaHgIr at its relaxed geometry.

Cell and atoms, written as POSCAR:
```
LaHgIr
1.0
-2.160 -2.304 -2.633
2.394 -3.192 0.830
-6.602 -0.768 6.088
Hg Ir La
2 2 2
Cartesian
-4.775 -3.108 1.821
-1.594 -3.156 2.464
-6.518 -3.870 3.918
0.149 -2.394 0.367
-3.691 -4.073 4.988
-2.677 -2.191 -0.703
```

V: 24.522 A^3/atom
formation energy from the elements: -1.8 eV/f.u.

No. 3
VASP calculation (GGA-PBE) on crystalline KY2In at its relaxed geometry.

Cell and atoms, written as POSCAR:
```
KY2In
1.0
-5.202 -2.417 3.927
-0.346 -6.714 1.768
3.609 5.939 0.168
In K Y
1 1 2
Cartesian
-2.847 -4.687 2.923
0.092 -2.922 2.549
-5.492 -9.040 5.637
-2.013 -0.242 3.296
```

V: 33.008 A^3/atom
formation energy from the elements: 0.7 eV/f.u.

No. 4
VASP calculation (GGA-PBE) on crystalline Gd2LuHf at its relaxed geometry.

Cell and atoms, written as POSCAR:
```
Gd2LuHf
1.0
4.803 0.000 0.000
0.000 4.837 0.000
0.000 0.000 4.837
Hf Gd Lu
1 2 1
Cartesian
2.402 2.418 2.418
0.000 2.418 0.000
0.000 0.000 2.418
2.402 0.000 0.000
```

energy above the most stable polymorph in this dataset: 0.08 eV/f.u.
V: 28.094 A^3/atom
formation energy from the elements: 0.6 eV/f.u.